A:
# GGA-PBE CsNaTa2, optimized geometry
# Magnetic moment   0.0 Bohr magnetons per cell
# Crystal system   cubic
data_CsNaTa2
_cell_length_a 5.076
_cell_length_b 5.076
_cell_length_c 5.076
_cell_angle_alpha 60.00
_cell_angle_beta 60.00
_cell_angle_gamma 60.00
_symmetry_space_group_name_H-M 'P 1'
_symmetry_Int_Tables_number 1
loop_
_symmetry_equiv_pos_as_xyz
'x,y,z'
loop_
_atom_site_label
_atom_site_type_symbol
_atom_site_fract_x
_atom_site_fract_y
_atom_site_fract_z
_atom_site_occupancy
Cs1 Cs 0.000 0.000 0.000 1
Na1 Na 0.500 0.500 0.500 1
Ta1 Ta 0.250 0.250 0.250 1
Ta2 Ta 0.750 0.750 0.750 1



B:
# GGA-PBE CsNaTa2, optimized geometry
# Magnetic moment   0.0 Bohr magnetons per cell
# Crystal system   tetragonal
data_CsNaTa2
_cell_length_a 7.030
_cell_length_b 7.030
_cell_length_c 7.030
_cell_angle_alpha 98.55
_cell_angle_beta 98.55
_cell_angle_gamma 134.64
_symmetry_space_group_name_H-M 'P 1'
_symmetry_Int_Tables_number 1
loop_
_symmetry_equiv_pos_as_xyz
'x,y,z'
loop_
_atom_site_label
_atom_site_type_symbol
_atom_site_fract_x
_atom_site_fract_y
_atom_site_fract_z
_atom_site_occupancy
Cs1 Cs 0.000 0.000 0.000 1
Cs2 Cs 0.750 0.250 0.500 1
Na1 Na 0.250 0.750 0.500 1
Na2 Na 0.500 0.500 0.000 1
Ta1 Ta 0.125 0.125 0.500 1
Ta2 Ta 0.375 0.875 0.000 1
Ta3 Ta 0.625 0.625 0.500 1
Ta4 Ta 0.875 0.375 0.000 1



Most stable to least stable: B, A



A:
# GGA-PBE Cs2NaTe, optimized geometry
# Magnetic moment   0.1 Bohr magnetons per cell
# Crystal system   trigonal
data_Cs2NaTe
_cell_length_a 13.680
_cell_length_b 13.680
_cell_length_c 13.680
_cell_angle_alpha 23.41
_cell_angle_beta 23.41
_cell_angle_gamma 23.41
_symmetry_space_group_name_H-M 'P 1'
_symmetry_Int_Tables_number 1
loop_
_symmetry_equiv_pos_as_xyz
'x,y,z'
loop_
_atom_site_label
_atom_site_type_symbol
_atom_site_fract_x
_atom_site_fract_y
_atom_site_fract_z
_atom_site_occupancy
Cs1 Cs 0.121 0.121 0.121 1
Cs2 Cs 0.879 0.879 0.879 1
Na1 Na 0.000 0.000 0.000 1
Te1 Te 0.500 0.500 0.500 1



B:
# GGA-PBE Cs2NaTe, optimized geometry
# Magnetic moment   0.5 Bohr magnetons per cell
# Crystal system   tetragonal
data_Cs2NaTe
_cell_length_a 5.887
_cell_length_b 5.887
_cell_length_c 5.451
_cell_angle_alpha 90.00
_cell_angle_beta 90.00
_cell_angle_gamma 90.00
_symmetry_space_group_name_H-M 'P 1'
_symmetry_Int_Tables_number 1
loop_
_symmetry_equiv_pos_as_xyz
'x,y,z'
loop_
_atom_site_label
_atom_site_type_symbol
_atom_site_fract_x
_atom_site_fract_y
_atom_site_fract_z
_atom_site_occupancy
Cs1 Cs 0.000 0.500 0.000 1
Cs2 Cs 0.500 0.000 0.000 1
Na1 Na 0.000 0.000 0.500 1
Te1 Te 0.500 0.500 0.500 1



C:
# GGA-PBE Cs2NaTe, optimized geometry
# Magnetic moment   0.0 Bohr magnetons per cell
# Crystal system   tetragonal
data_Cs2NaTe
_cell_length_a 4.666
_cell_length_b 4.666
_cell_length_c 11.053
_cell_angle_alpha 90.00
_cell_angle_beta 90.00
_cell_angle_gamma 90.00
_symmetry_space_group_name_H-M 'P 1'
_symmetry_Int_Tables_number 1
loop_
_symmetry_equiv_pos_as_xyz
'x,y,z'
loop_
_atom_site_label
_atom_site_type_symbol
_atom_site_fract_x
_atom_site_fract_y
_atom_site_fract_z
_atom_site_occupancy
Cs1 Cs 0.000 0.000 0.175 1
Cs2 Cs 0.000 0.000 0.825 1
Na1 Na 0.500 0.500 0.500 1
Te1 Te 0.500 0.500 0.000 1



Most stable to least stable: B, C, A



A:
# GGA-PBE CsNa3Te, optimized geometry
# Magnetic moment   0.0 Bohr magnetons per cell
# Crystal system   cubic
data_CsNa3Te
_cell_length_a 6.454
_cell_length_b 6.454
_cell_length_c 6.454
_cell_angle_alpha 90.00
_cell_angle_beta 90.00
_cell_angle_gamma 90.00
_symmetry_space_group_name_H-M 'P 1'
_symmetry_Int_Tables_number 1
loop_
_symmetry_equiv_pos_as_xyz
'x,y,z'
loop_
_atom_site_label
_atom_site_type_symbol
_atom_site_fract_x
_atom_site_fract_y
_atom_site_fract_z
_atom_site_occupancy
Cs1 Cs 0.000 0.000 0.000 1
Na1 Na 0.000 0.000 0.500 1
Na2 Na 0.000 0.500 0.000 1
Na3 Na 0.500 0.000 0.000 1
Te1 Te 0.500 0.500 0.500 1



B:
# GGA-PBE CsNa3Te, optimized geometry
# Magnetic moment   0.0 Bohr magnetons per cell
# Crystal system   cubic
data_CsNa3Te
_cell_length_a 6.258
_cell_length_b 6.258
_cell_length_c 6.258
_cell_angle_alpha 90.00
_cell_angle_beta 90.00
_cell_angle_gamma 90.00
_symmetry_space_group_name_H-M 'P 1'
_symmetry_Int_Tables_number 1
loop_
_symmetry_equiv_pos_as_xyz
'x,y,z'
loop_
_atom_site_label
_atom_site_type_symbol
_atom_site_fract_x
_atom_site_fract_y
_atom_site_fract_z
_atom_site_occupancy
Cs1 Cs 0.000 0.000 0.000 1
Na1 Na 0.000 0.500 0.500 1
Na2 Na 0.500 0.000 0.500 1
Na3 Na 0.500 0.500 0.000 1
Te1 Te 0.500 0.500 0.500 1



Most stable to least stable: B, A



A:
# GGA-PBE CsNaTe2, optimized geometry
# Magnetic moment   0.0 Bohr magnetons per cell
# Crystal system   trigonal
data_CsNaTe2
_cell_length_a 11.916
_cell_length_b 11.916
_cell_length_c 11.916
_cell_angle_alpha 18.82
_cell_angle_beta 18.82
_cell_angle_gamma 18.82
_symmetry_space_group_name_H-M 'P 1'
_symmetry_Int_Tables_number 1
loop_
_symmetry_equiv_pos_as_xyz
'x,y,z'
loop_
_atom_site_label
_atom_site_type_symbol
_atom_site_fract_x
_atom_site_fract_y
_atom_site_fract_z
_atom_site_occupancy
Cs1 Cs 0.000 0.000 0.000 1
Na1 Na 0.500 0.500 0.500 1
Te1 Te 0.100 0.100 0.100 1
Te2 Te 0.900 0.900 0.900 1



B:
# GGA-PBE CsNaTe2, optimized geometry
# Magnetic moment   0.0 Bohr magnetons per cell
# Crystal system   trigonal
data_CsNaTe2
_cell_length_a 12.025
_cell_length_b 12.025
_cell_length_c 12.025
_cell_angle_alpha 19.26
_cell_angle_beta 19.26
_cell_angle_gamma 19.26
_symmetry_space_group_name_H-M 'P 1'
_symmetry_Int_Tables_number 1
loop_
_symmetry_equiv_pos_as_xyz
'x,y,z'
loop_
_atom_site_label
_atom_site_type_symbol
_atom_site_fract_x
_atom_site_fract_y
_atom_site_fract_z
_atom_site_occupancy
Cs1 Cs 0.000 0.000 0.000 1
Na1 Na 0.500 0.500 0.500 1
Te1 Te 0.418 0.418 0.418 1
Te2 Te 0.582 0.582 0.582 1



C:
# GGA-PBE CsNaTe2, optimized geometry
# Magnetic moment   0.0 Bohr magnetons per cell
# Crystal system   monoclinic
data_CsNaTe2
_cell_length_a 5.646
_cell_length_b 5.568
_cell_length_c 10.659
_cell_angle_alpha 90.00
_cell_angle_beta 105.33
_cell_angle_gamma 90.00
_symmetry_space_group_name_H-M 'P 1'
_symmetry_Int_Tables_number 1
loop_
_symmetry_equiv_pos_as_xyz
'x,y,z'
loop_
_atom_site_label
_atom_site_type_symbol
_atom_site_fract_x
_atom_site_fract_y
_atom_site_fract_z
_atom_site_occupancy
Cs1 Cs 0.105 0.250 0.209 1
Cs2 Cs 0.895 0.750 0.791 1
Na1 Na 0.319 0.250 0.641 1
Na2 Na 0.681 0.750 0.359 1
Te1 Te 0.250 0.750 0.500 1
Te2 Te 0.476 0.250 0.951 1
Te3 Te 0.524 0.750 0.049 1
Te4 Te 0.750 0.250 0.500 1



Most stable to least stable: C, B, A



A:
# GGA-PBE CsNaTe2, optimized geometry
# Magnetic moment   0.0 Bohr magnetons per cell
# Crystal system   orthorhombic
data_CsNaTe2
_cell_length_a 10.713
_cell_length_b 5.260
_cell_length_c 12.912
_cell_angle_alpha 90.00
_cell_angle_beta 90.00
_cell_angle_gamma 90.00
_symmetry_space_group_name_H-M 'P 1'
_symmetry_Int_Tables_number 1
loop_
_symmetry_equiv_pos_as_xyz
'x,y,z'
loop_
_atom_site_label
_atom_site_type_symbol
_atom_site_fract_x
_atom_site_fract_y
_atom_site_fract_z
_atom_site_occupancy
Cs1 Cs 0.175 0.250 0.157 1
Cs2 Cs 0.325 0.750 0.657 1
Cs3 Cs 0.675 0.250 0.343 1
Cs4 Cs 0.825 0.750 0.843 1
Na1 Na 0.093 0.250 0.444 1
Na2 Na 0.407 0.750 0.944 1
Na3 Na 0.593 0.250 0.056 1
Na4 Na 0.907 0.750 0.556 1
Te1 Te 0.029 0.250 0.689 1
Te2 Te 0.235 0.750 0.370 1
Te3 Te 0.265 0.250 0.870 1
Te4 Te 0.471 0.750 0.189 1
Te5 Te 0.529 0.250 0.811 1
Te6 Te 0.735 0.750 0.130 1
Te7 Te 0.765 0.250 0.630 1
Te8 Te 0.971 0.750 0.311 1



B:
# GGA-PBE CsNaTe2, optimized geometry
# Magnetic moment   0.0 Bohr magnetons per cell
# Crystal system   tetragonal
data_CsNaTe2
_cell_length_a 11.142
_cell_length_b 11.142
_cell_length_c 11.142
_cell_angle_alpha 148.29
_cell_angle_beta 148.29
_cell_angle_gamma 45.46
_symmetry_space_group_name_H-M 'P 1'
_symmetry_Int_Tables_number 1
loop_
_symmetry_equiv_pos_as_xyz
'x,y,z'
loop_
_atom_site_label
_atom_site_type_symbol
_atom_site_fract_x
_atom_site_fract_y
_atom_site_fract_z
_atom_site_occupancy
Cs1 Cs 0.000 0.000 0.000 1
Cs2 Cs 0.750 0.250 0.500 1
Na1 Na 0.250 0.750 0.500 1
Na2 Na 0.500 0.500 0.000 1
Te1 Te 0.313 0.625 0.188 1
Te2 Te 0.375 0.563 0.688 1
Te3 Te 0.437 0.125 0.812 1
Te4 Te 0.875 0.687 0.312 1



Most stable to least stable: A, B